1.
# KLa2Tc2 | the Alexandria database | PBE-GGA | optimized geometry
data_KLa2Tc2
_chemical_formula_sum 'K2 La4 Tc4'
_cell_length_a 8.8073
_cell_length_b 8.8073
_cell_length_c 3.3500
_cell_angle_alpha 90.00
_cell_angle_beta 90.00
_cell_angle_gamma 90.00
_symmetry_space_group_name_H-M 'P 1'
_symmetry_Int_Tables_number 1
_symmetry_space_group_name_Hall 'P 1'
loop_
_atom_site_label
_atom_site_type_symbol
_atom_site_fract_x
_atom_site_fract_y
_atom_site_fract_z
_atom_site_occupancy
K1 K 0.0000 0.0000 0.0000 1
K2 K 0.5000 0.5000 0.0000 1
Tc1 Tc 0.1207 0.6207 0.5000 1
Tc2 Tc 0.6207 0.8793 0.5000 1
Tc3 Tc 0.3793 0.1207 0.5000 1
Tc4 Tc 0.8793 0.3793 0.5000 1
La1 La 0.3551 0.8551 0.0000 1
La2 La 0.8551 0.6449 0.0000 1
La3 La 0.1449 0.3551 0.0000 1
La4 La 0.6449 0.1449 0.0000 1
# Energy   -5.695 eV/atom
# Volume   259.9 Å³/cell
# Crystal system   tetragonal
# N(E_F)   1.4768 states/eV per atom
# Energy relative to the elements   0.642 eV per atom


2.
# Pm7Ho16Tm6 | the Alexandria database | PBE-GGA | optimized geometry
data_Pm7Ho16Tm6
_chemical_formula_sum 'Pm7 Ho16 Tm6'
_cell_length_a 11.1401
_cell_length_b 11.1401
_cell_length_c 11.1401
_cell_angle_alpha 60.00
_cell_angle_beta 60.00
_cell_angle_gamma 60.00
_symmetry_space_group_name_H-M 'P 1'
_symmetry_Int_Tables_number 1
_symmetry_space_group_name_Hall 'P 1'
loop_
_atom_site_label
_atom_site_type_symbol
_atom_site_fract_x
_atom_site_fract_y
_atom_site_fract_z
_atom_site_occupancy
Pm1 Pm 0.5000 0.0000 0.0000 1
Pm2 Pm 0.0000 0.5000 0.5000 1
Pm3 Pm 0.5000 0.5000 0.0000 1
Pm4 Pm 0.0000 0.0000 0.0000 1
Pm5 Pm 0.0000 0.0000 0.5000 1
Pm6 Pm 0.0000 0.5000 0.0000 1
Pm7 Pm 0.5000 0.0000 0.5000 1
Ho1 Ho 0.3845 0.8718 0.8718 1
Ho2 Ho 0.0531 0.6490 0.6490 1
Ho3 Ho 0.1282 0.1282 0.6155 1
Ho4 Ho 0.9469 0.3510 0.3510 1
Ho5 Ho 0.6490 0.6490 0.6490 1
Ho6 Ho 0.1282 0.6155 0.1282 1
Ho7 Ho 0.3510 0.3510 0.9469 1
Ho8 Ho 0.6490 0.0531 0.6490 1
Ho9 Ho 0.6490 0.6490 0.0531 1
Ho10 Ho 0.8718 0.3845 0.8718 1
Ho11 Ho 0.8718 0.8718 0.8718 1
Ho12 Ho 0.3510 0.9469 0.3510 1
Ho13 Ho 0.8718 0.8718 0.3845 1
Ho14 Ho 0.6155 0.1282 0.1282 1
Ho15 Ho 0.3510 0.3510 0.3510 1
Ho16 Ho 0.1282 0.1282 0.1282 1
Tm1 Tm 0.7416 0.2584 0.2584 1
Tm2 Tm 0.7416 0.7416 0.2584 1
Tm3 Tm 0.2584 0.7416 0.7416 1
Tm4 Tm 0.2584 0.2584 0.7416 1
Tm5 Tm 0.7416 0.2584 0.7416 1
Tm6 Tm 0.2584 0.7416 0.2584 1
# Energy   -4.330 eV/atom
# Volume   977.6 Å³/cell
# Crystal system   cubic
# N(E_F)   1.9650 states/eV per atom
# Energy relative to the elements   0.267 eV per atom


3.
# Ag2AsRu | the Alexandria database | PBE-GGA | optimized geometry
data_Ag2AsRu
_chemical_formula_sum 'Ag2 As1 Ru1'
_cell_length_a 2.8317
_cell_length_b 4.4786
_cell_length_c 5.3478
_cell_angle_alpha 90.00
_cell_angle_beta 90.00
_cell_angle_gamma 90.00
_symmetry_space_group_name_H-M 'P 1'
_symmetry_Int_Tables_number 1
_symmetry_space_group_name_Hall 'P 1'
loop_
_atom_site_label
_atom_site_type_symbol
_atom_site_fract_x
_atom_site_fract_y
_atom_site_fract_z
_atom_site_occupancy
Ag1 Ag 0.0000 0.0000 0.9954 1
Ag2 Ag 0.0000 0.0000 0.5046 1
As1 As 0.5000 0.5000 0.2500 1
Ru1 Ru 0.5000 0.5000 0.7500 1
# Energy   -4.470 eV/atom
# Volume   67.8 Å³/cell
# Crystal system   orthorhombic
# N(E_F)   0.9030 states/eV per atom
# Energy relative to the elements   0.437 eV per atom


4.
# ScZn3Ni2 | the Alexandria database | PBE-GGA | optimized geometry
data_ScZn3Ni2
_chemical_formula_sum 'Sc2 Zn6 Ni4'
_cell_length_a 5.6376
_cell_length_b 5.6376
_cell_length_c 7.0979
_cell_angle_alpha 66.60
_cell_angle_beta 66.60
_cell_angle_gamma 60.00
_symmetry_space_group_name_H-M 'P 1'
_symmetry_Int_Tables_number 1
_symmetry_space_group_name_Hall 'P 1'
loop_
_atom_site_label
_atom_site_type_symbol
_atom_site_fract_x
_atom_site_fract_y
_atom_site_fract_z
_atom_site_occupancy
Ni1 Ni 0.0000 0.0000 0.0000 1
Ni2 Ni 0.0000 0.5000 0.0000 1
Ni3 Ni 0.5000 0.0000 0.0000 1
Ni4 Ni 0.5000 0.5000 0.0000 1
Zn1 Zn 0.2360 0.7273 0.3094 1
Zn2 Zn 0.2727 0.7640 0.6906 1
Zn3 Zn 0.7640 0.2727 0.6906 1
Zn4 Zn 0.7273 0.2360 0.3094 1
Zn5 Zn 0.2727 0.2727 0.6906 1
Zn6 Zn 0.7273 0.7273 0.3094 1
Sc1 Sc 0.2283 0.2283 0.3152 1
Sc2 Sc 0.7717 0.7717 0.6848 1
# Energy   -3.809 eV/atom
# Volume   173.6 Å³/cell
# Crystal system   trigonal
# N(E_F)   0.6921 states/eV per atom
# Energy relative to the elements   -0.189 eV per atom


5.
# U3Ga4Au2 | the Alexandria database | PBE-GGA | optimized geometry
data_U3Ga4Au2
_chemical_formula_sum 'U6 Ga8 Au4'
_cell_length_a 5.7179
_cell_length_b 8.3817
_cell_length_c 8.3817
_cell_angle_alpha 60.59
_cell_angle_beta 90.00
_cell_angle_gamma 90.00
_symmetry_space_group_name_H-M 'P 1'
_symmetry_Int_Tables_number 1
_symmetry_space_group_name_Hall 'P 1'
loop_
_atom_site_label
_atom_site_type_symbol
_atom_site_fract_x
_atom_site_fract_y
_atom_site_fract_z
_atom_site_occupancy
U1 U 0.2500 0.1608 0.1608 1
U2 U 0.7500 0.8392 0.8392 1
U3 U 0.2500 0.5000 0.5000 1
U4 U 0.7500 0.1608 0.1608 1
U5 U 0.7500 0.5000 0.5000 1
U6 U 0.2500 0.8392 0.8392 1
Ga1 Ga 0.5000 0.4976 0.1637 1
Ga2 Ga 0.0000 0.1720 0.8257 1
Ga3 Ga 0.0000 0.8363 0.5024 1
Ga4 Ga 0.0000 0.1637 0.4976 1
Ga5 Ga 0.5000 0.5024 0.8363 1
Ga6 Ga 0.5000 0.8257 0.1720 1
Ga7 Ga 0.0000 0.8280 0.1743 1
Ga8 Ga 0.5000 0.1743 0.8280 1
Au1 Au 0.5000 0.1710 0.4964 1
Au2 Au 0.0000 0.5036 0.8290 1
Au3 Au 0.0000 0.4964 0.1710 1
Au4 Au 0.5000 0.8290 0.5036 1
# Energy   -6.102 eV/atom
# Volume   349.9 Å³/cell
# Crystal system   orthorhombic
# N(E_F)   1.3313 states/eV per atom
# Energy relative to the elements   -0.266 eV per atom


6.
# FeGeSeN2 | the Alexandria database | PBE-GGA | optimized geometry
data_FeGeSeN2
_chemical_formula_sum 'Fe1 Ge1 Se1 N2'
_cell_length_a 3.6824
_cell_length_b 3.6824
_cell_length_c 5.1355
_cell_angle_alpha 90.00
_cell_angle_beta 90.00
_cell_angle_gamma 90.00
_symmetry_space_group_name_H-M 'P 1'
_symmetry_Int_Tables_number 1
_symmetry_space_group_name_Hall 'P 1'
loop_
_atom_site_label
_atom_site_type_symbol
_atom_site_fract_x
_atom_site_fract_y
_atom_site_fract_z
_atom_site_occupancy
N1 N 0.0000 0.5000 0.0000 1
N2 N 0.5000 0.0000 0.0000 1
Se1 Se 0.0000 0.0000 0.5000 1
Fe1 Fe 0.0000 0.0000 0.0000 1
Ge1 Ge 0.5000 0.5000 0.5000 1
# Energy   -5.829 eV/atom
# Volume   69.6 Å³/cell
# Crystal system   tetragonal
# E_form (uncorrected)   0.814 eV/atom
# N(E_F)   0.7986 states/eV per atom


7.
# PmAlPd5 | the Alexandria database | PBE-GGA | optimized geometry
data_PmAlPd5
_chemical_formula_sum 'Pm1 Al1 Pd5'
_cell_length_a 4.1639
_cell_length_b 4.1639
_cell_length_c 7.1142
_cell_angle_alpha 90.00
_cell_angle_beta 90.00
_cell_angle_gamma 90.00
_symmetry_space_group_name_H-M 'P 1'
_symmetry_Int_Tables_number 1
_symmetry_space_group_name_Hall 'P 1'
loop_
_atom_site_label
_atom_site_type_symbol
_atom_site_fract_x
_atom_site_fract_y
_atom_site_fract_z
_atom_site_occupancy
Pd1 Pd 0.5000 0.0000 0.2030 1
Pd2 Pd 0.5000 0.5000 0.5000 1
Pd3 Pd 0.5000 0.0000 0.7970 1
Pd4 Pd 0.0000 0.5000 0.2030 1
Pd5 Pd 0.0000 0.5000 0.7970 1
Pm1 Pm 0.0000 0.0000 0.5000 1
Al1 Al 0.5000 0.5000 0.0000 1
# Energy   -5.655 eV/atom
# Volume   123.3 Å³/cell
# Crystal system   tetragonal
# N(E_F)   0.1546 states/eV per atom
# Energy relative to the elements   -0.732 eV per atom


8.
# Pb2CCl | the Alexandria database | PBE-GGA | optimized geometry
data_Pb2CCl
_chemical_formula_sum 'Pb4 C2 Cl2'
_cell_length_a 7.1333
_cell_length_b 7.1333
_cell_length_c 6.5584
_cell_angle_alpha 57.06
_cell_angle_beta 57.06
_cell_angle_gamma 90.00
_symmetry_space_group_name_H-M 'P 1'
_symmetry_Int_Tables_number 1
_symmetry_space_group_name_Hall 'P 1'
loop_
_atom_site_label
_atom_site_type_symbol
_atom_site_fract_x
_atom_site_fract_y
_atom_site_fract_z
_atom_site_occupancy
Pb1 Pb 0.3750 0.4595 0.7500 1
Pb2 Pb 0.2095 0.6250 0.2500 1
Pb3 Pb 0.8750 0.7905 0.7500 1
Pb4 Pb 0.5405 0.1250 0.2500 1
C1 C 0.2500 0.7500 0.5000 1
C2 C 0.5000 0.5000 0.0000 1
Cl1 Cl 0.0000 0.0000 0.0000 1
Cl2 Cl 0.7500 0.2500 0.5000 1
# Energy   -4.034 eV/atom
# Volume   213.3 Å³/cell
# Crystal system   tetragonal
# E_form (uncorrected)   0.588 eV/atom
# N(E_F)   0.6054 states/eV per atom


9.
# CePa4Se8 | the Alexandria database | PBE-GGA | optimized geometry
data_CePa4Se8
_chemical_formula_sum 'Ce1 Pa4 Se8'
_cell_length_a 8.4681
_cell_length_b 8.4681
_cell_length_c 8.4681
_cell_angle_alpha 60.00
_cell_angle_beta 60.00
_cell_angle_gamma 60.00
_symmetry_space_group_name_H-M 'P 1'
_symmetry_Int_Tables_number 1
_symmetry_space_group_name_Hall 'P 1'
loop_
_atom_site_label
_atom_site_type_symbol
_atom_site_fract_x
_atom_site_fract_y
_atom_site_fract_z
_atom_site_occupancy
Ce1 Ce 0.7500 0.7500 0.7500 1
Se1 Se 0.6088 0.1304 0.1304 1
Se2 Se 0.1304 0.1304 0.6088 1
Se3 Se 0.1607 0.6131 0.6131 1
Se4 Se 0.1304 0.6088 0.1304 1
Se5 Se 0.6131 0.1607 0.6131 1
Se6 Se 0.1304 0.1304 0.1304 1
Se7 Se 0.6131 0.6131 0.6131 1
Se8 Se 0.6131 0.6131 0.1607 1
Pa1 Pa 0.8919 0.3694 0.3694 1
Pa2 Pa 0.3694 0.3694 0.3694 1
Pa3 Pa 0.3694 0.3694 0.8919 1
Pa4 Pa 0.3694 0.8919 0.3694 1
# Energy   -6.792 eV/atom
# Volume   429.4 Å³/cell
# Crystal system   cubic
# E_form (uncorrected)   -1.269 eV/atom
# N(E_F)   2.2377 states/eV per atom


10.
# NiAsRh3 | the Alexandria database | PBE-GGA | optimized geometry
data_NiAsRh3
_chemical_formula_sum 'Ni1 As1 Rh3'
_cell_length_a 4.5078
_cell_length_b 4.5078
_cell_length_c 4.5078
_cell_angle_alpha 90.00
_cell_angle_beta 90.00
_cell_angle_gamma 90.00
_symmetry_space_group_name_H-M 'P 1'
_symmetry_Int_Tables_number 1
_symmetry_space_group_name_Hall 'P 1'
loop_
_atom_site_label
_atom_site_type_symbol
_atom_site_fract_x
_atom_site_fract_y
_atom_site_fract_z
_atom_site_occupancy
Rh1 Rh 0.0000 0.5000 0.0000 1
Rh2 Rh 0.5000 0.0000 0.0000 1
Rh3 Rh 0.0000 0.0000 0.5000 1
As1 As 0.0000 0.0000 0.0000 1
Ni1 Ni 0.5000 0.5000 0.5000 1
# Energy   -5.759 eV/atom
# Volume   91.6 Å³/cell
# Crystal system   cubic
# N(E_F)   1.2004 states/eV per atom
# Energy relative to the elements   0.738 eV per atom


11.
# SrGaTeAu2 | the Alexandria database | PBE-GGA | optimized geometry
data_SrGaTeAu2
_chemical_formula_sum 'Sr1 Ga1 Te1 Au2'
_cell_length_a 5.8311
_cell_length_b 6.1962
_cell_length_c 5.8311
_cell_angle_alpha 90.00
_cell_angle_beta 90.00
_cell_angle_gamma 90.00
_symmetry_space_group_name_H-M 'P 1'
_symmetry_Int_Tables_number 1
_symmetry_space_group_name_Hall 'P 1'
loop_
_atom_site_label
_atom_site_type_symbol
_atom_site_fract_x
_atom_site_fract_y
_atom_site_fract_z
_atom_site_occupancy
Au1 Au 0.0000 0.0000 0.5000 1
Au2 Au 0.5000 0.0000 0.0000 1
Sr1 Sr 0.0000 0.0000 0.0000 1
Te1 Te 0.0000 0.5000 0.0000 1
Ga1 Ga 0.5000 0.5000 0.5000 1
# Energy   -2.575 eV/atom
# Volume   210.7 Å³/cell
# Crystal system   tetragonal
# E_form (uncorrected)   0.306 eV/atom
# N(E_F)   0.7500 states/eV per atom


12.
# KScSb2 | the Alexandria database | PBE-GGA | optimized geometry
data_KScSb2
_chemical_formula_sum 'K1 Sc1 Sb2'
_cell_length_a 3.5181
_cell_length_b 3.5181
_cell_length_c 9.2824
_cell_angle_alpha 90.00
_cell_angle_beta 90.00
_cell_angle_gamma 98.84
_symmetry_space_group_name_H-M 'P 1'
_symmetry_Int_Tables_number 1
_symmetry_space_group_name_Hall 'P 1'
loop_
_atom_site_label
_atom_site_type_symbol
_atom_site_fract_x
_atom_site_fract_y
_atom_site_fract_z
_atom_site_occupancy
K1 K 0.5000 0.5000 0.7500 1
Sb1 Sb 0.0000 0.0000 0.0417 1
Sb2 Sb 0.0000 0.0000 0.4583 1
Sc1 Sc 0.5000 0.5000 0.2500 1
# Energy   -4.467 eV/atom
# Volume   113.5 Å³/cell
# Crystal system   orthorhombic
# E_form (uncorrected)   -0.549 eV/atom
# N(E_F)   0.5797 states/eV per atom